Compound: Sm5ZrAg4
Source: Alexandria via LeMat-Bulk
Functional: PBE
Structure: relaxed

The formation energy is -177 kJ/mol of formula units. Its calculated density is 8.136 g/cm³. For the density of states at the Fermi level, the calculation gives 9.334 states/eV/f.u. For the final energy, the calculation gives -4.539 eV per atom.

It has space group P4/mmm (No. 123), with a = 3.617 Å, b = 3.617 Å, c = 19.885 Å, α = 90.00°, β = 90.00° and γ = 90.00°. The inequivalent atoms are Sm at (0.000, 0.000, 0.000), Sm at (0.000, 0.000, 0.193), Sm at (0.000, 0.000, 0.388), Zr at (0.500, 0.500, 0.500), Ag at (0.500, 0.500, 0.096) and Ag at (0.500, 0.500, 0.291).